[1]
First-principles (GGA-PBE) data for a geometry-optimized Tb2ZrZn4 structure, as listed in the Alexandria database.

For the total magnetization, the calculation gives 0.000 μB per formula unit. The total energy is -0.2505 Ry per atom. The calculation puts the formation energy at -0.136 eV per atom.

a = 5.0275 Å, b = 5.0275 Å, c = 12.3116 Å
α = 90.00°, β = 90.00°, γ = 90.00°
Space group I4/mmm (No. 139)
Symmetry-distinct sites (fractional):
Tb 0.0000 0.0000 0.2261 x4
Zr 0.0000 0.0000 0.5000 x2
Zn 0.0000 0.5000 0.1044 x8



[2]
First-principles (GGA-PBE) data for a geometry-optimized Tb3Zr2Zn2 structure, as listed in the Alexandria database.

For the total magnetization, the calculation gives 0.000 μB per formula unit. The total energy is -0.3504 Ry per atom. The calculation puts the formation energy at 0.023 eV per atom.

a = 4.5025 Å, b = 22.8213 Å, c = 3.3059 Å
α = 90.00°, β = 90.00°, γ = 90.00°
Space group Cmmm (No. 65)
Symmetry-distinct sites (fractional):
Tb 0.0000 0.0000 0.0000 x2
Tb 0.0000 0.1422 0.0000 x4
Zr 0.0000 0.2874 0.5000 x4
Zn 0.0000 0.4270 0.5000 x4